A plane-wave DFT calculation with GGA-PBE was carried out for LiCo3Bi after structural relaxation.

Cell lengths 4.9000, 4.9000, 4.9000 Å; angles 90.00, 90.00, 90.00 degrees
Fractional positions:
Li  0.0000  0.0000  0.0000
Co  0.0000  0.5000  0.5000
Co  0.5000  0.0000  0.5000
Co  0.5000  0.5000  0.0000
Bi  0.5000  0.5000  0.5000

Output
As for the energy of formation: 1294 meV per atom. Its distance to the lowest polymorph of the same formula is 435 meV per atom. The density of states at the Fermi level comes out at 6.22 states/eV per cell.